(w)
Material: PmZnGe2
Method: DFT, GGA-PBE
State: relaxed

**Space-group type**: R-3m, No. 166

Unit cell a=5.254 b=5.254 c=4.737 alpha=56.32 beta=56.32 gamma=60.00
Positions (direct):
Ge1 0.230 0.230 0.311
Ge2 0.770 0.770 0.689
Zn1 0.000 0.000 0.000
Pm1 0.500 0.500 0.500

(x)
Material: PmZnGe2
Method: DFT, GGA-PBE
State: relaxed

**Space-group type**: I4/mmm, No. 139

Unit cell a=4.139 b=4.139 c=10.061 alpha=101.87 beta=101.87 gamma=90.00
Positions (direct):
Pm1 0.116 0.116 0.233
Pm2 0.884 0.884 0.767
Zn1 0.750 0.250 0.500
Zn2 0.250 0.750 0.500
Ge1 0.337 0.337 0.673
Ge2 0.663 0.663 0.327
Ge3 0.500 0.000 0.000
Ge4 0.000 0.500 0.000

(y)
Material: PmZnGe2
Method: DFT, GGA-PBE
State: relaxed

**Space-group type**: Cmmm, No. 65

Unit cell a=3.245 b=5.373 c=5.373 alpha=63.72 beta=90.00 gamma=90.00
Positions (direct):
Pm1 0.000 0.054 0.946
Zn1 0.500 0.554 0.446
Ge1 0.500 0.554 0.946
Ge2 0.500 0.054 0.446

(z)
Material: PmZnGe2
Method: DFT, GGA-PBE
State: relaxed

**Space-group type**: P4/mmm, No. 123

Unit cell a=3.564 b=3.564 c=6.482 alpha=90.00 beta=90.00 gamma=90.00
Positions (direct):
Ge1 0.000 0.000 0.801
Ge2 0.000 0.000 0.199
Zn1 0.500 0.500 0.000
Pm1 0.500 0.500 0.500

Most stable: (x) (next structure +180 meV/atom)

(w)
Material: Pm2ZnGe
Method: DFT, GGA-PBE
State: relaxed

**Space-group type**: P2_1/m, No. 11

Unit cell a=4.161 b=6.017 c=8.640 alpha=110.89 beta=90.00 gamma=90.00
Positions (direct):
Pm1 0.750 0.221 0.436
Pm2 0.250 0.779 0.564
Pm3 0.250 0.788 0.078
Pm4 0.750 0.212 0.922
Zn1 0.750 0.628 0.282
Zn2 0.250 0.372 0.718
Ge1 0.250 0.342 0.208
Ge2 0.750 0.658 0.792

(x)
Material: Pm2ZnGe
Method: DFT, GGA-PBE
State: relaxed

**Space-group type**: Fm-3m, No. 225

Unit cell a=5.155 b=5.155 c=5.155 alpha=60.00 beta=60.00 gamma=60.00
Positions (direct):
Ge1 0.500 0.500 0.500
Zn1 0.000 0.000 0.000
Pm1 0.750 0.750 0.750
Pm2 0.250 0.250 0.250

Most stable: (w) (next structure +56 meV/atom)